No. 1
A relaxed MnNbS2 crystal, computed with GGA-PBE.

E_form (uncorrected) = -0.252 eV/atom
energy = -7.13 eV per atom

```
MnNbS2
1.0
0.1245 2.7083 3.2482
0.9482 4.0681 -0.6727
-2.9929 2.9638 0.3991
Mn Nb S
1 1 2
Cartesian
0.0000 0.0000 0.0000
-0.9601 4.8701 1.4873
-1.4401 7.3051 2.2309
-0.4800 2.4350 0.7436
```

=====

No. 2
A relaxed AlGaAu2 crystal, computed with GGA-PBE.

energy = -3.51 eV per atom

```
AlGaAu2
1.0
3.1929 0.0000 0.0000
0.0000 3.1929 0.0000
0.0000 0.0000 6.9308
Al Au Ga
1 2 1
Cartesian
1.5965 1.5965 0.0000
0.0000 0.0000 1.5668
0.0000 0.0000 5.3640
1.5965 1.5965 3.4654
```

=====

No. 3
A relaxed Ta5TiRe6 crystal, computed with GGA-PBE.

energy = -12.25 eV per atom

```
Ta5TiRe6
1.0
4.3427 -0.0047 -1.2179
-3.2511 6.3067 -3.2596
-0.1702 -0.9067 7.7536
Ta Re Ti
5 6 1
Cartesian
1.4912 0.2849 5.3217
0.4607 2.6976 1.6380
-0.5698 5.1104 -2.0457
-1.1980 1.4998 4.0794
-2.2233 3.9002 0.4145
-1.4787 4.0562 3.0704
-0.2827 2.5441 -1.0156
0.1792 5.2507 0.6280
0.7422 0.1445 2.6480
1.2041 2.8511 4.2916
2.4001 1.3391 0.2056
0.0000 0.0000 0.0000
```

=====

No. 4
A relaxed BaCaAsRh2 crystal, computed with GGA-PBE.

energy = -4.23 eV per atom

```
BaCaAsRh2
1.0
4.9878 0.0000 0.0000
0.0000 5.4633 0.0000
0.0000 0.0000 4.9878
Ba As Rh Ca
1 1 2 1
Cartesian
2.4939 2.7316 2.4939
0.0000 2.7316 0.0000
0.0000 0.0000 2.4939
2.4939 0.0000 0.0000
0.0000 0.0000 0.0000
```

=====

No. 5
A relaxed Mn3Zn8 crystal, computed with GGA-PBE.

energy = -3.19 eV per atom

```
Mn3Zn8
1.0
5.6696 -0.6314 -0.5724
-0.5657 5.6765 -0.5724
-0.6388 -0.6314 5.6625
Zn Mn
8 3
Cartesian
0.8639 4.0016 4.0586
4.0113 0.8175 4.0586
0.4538 3.5962 0.4591
0.8827 0.8725 0.8931
0.4169 0.4121 3.6063
3.5824 3.5411 3.6246
3.6012 0.4121 0.4592
4.0482 4.0015 0.9114
2.5519 2.5225 -0.5724
-0.6023 2.5225 2.5451
2.5154 -0.6314 2.5451
```

=====

No. 6
A relaxed LiGe2As2 crystal, computed with GGA-PBE.

energy = -4.05 eV per atom

```
LiGe2As2
1.0
7.3319 0.0000 0.0000
0.0000 7.3319 0.0000
0.0000 0.0000 3.6417
Ge Li As
4 2 4
Cartesian
2.5916 1.0744 1.8209
1.0744 4.7403 1.8209
4.7403 6.2575 1.8209
6.2575 2.5916 1.8209
3.6660 3.6660 0.0000
0.0000 0.0000 0.0000
2.5242 6.1902 0.0000
4.8077 1.1417 0.0000
1.1417 2.5242 0.0000
6.1902 4.8077 0.0000
```

=====

No. 7
A relaxed Al2TlHg crystal, computed with GGA-PBE.

energy = -2.37 eV per atom

```
Al2TlHg
1.0
3.7585 0.0000 0.0000
0.0000 3.0965 -0.1643
0.0000 1.0173 8.0769
Hg Al Tl
1 2 1
Cartesian
0.0000 1.9962 3.6938
1.8793 1.6141 1.6269
0.0000 3.0999 0.1707
1.8793 2.5571 6.2131
```

=====

No. 8
A relaxed PtRh2Au crystal, computed with GGA-PBE.

energy = -5.84 eV per atom

```
PtRh2Au
1.0
-1.3809 2.3786 4.7808
1.3809 -2.3786 4.7808
1.3809 2.3786 -4.7808
Pt Rh Au
1 2 1
Cartesian
0.0000 2.3786 2.4856
0.0000 0.0000 0.0388
1.3809 0.0000 2.2798
0.0000 0.0000 4.7573
```

=====

No. 9
A relaxed MnAs2IrBr crystal, computed with GGA-PBE.

E_form (uncorrected) = 0.689 eV/atom
energy = -5.11 eV per atom

```
MnAs2IrBr
1.0
-4.3244 -1.9758 -0.4176
1.8260 -3.4041 -2.8029
0.9776 -3.0596 4.3528
Br Ir As Mn
1 1 2 1
Cartesian
0.4888 -1.5298 2.1764
0.0000 0.0000 0.0000
-2.1622 -0.9879 -0.2088
0.9130 -1.7021 -1.4014
-0.7604 -4.2198 0.5662
```

=====

No. 10
A relaxed KLiTlBrF crystal, computed with GGA-PBE.

E_form (uncorrected) = -1.451 eV/atom
energy = -3.23 eV per atom

```
KLiTlBrF
1.0
-0.5170 -3.3400 -5.1184
3.1537 0.9758 -0.9553
5.9291 -9.8198 9.5433
Li K F Tl Br
2 2 2 2 2
Cartesian
2.2675 -4.6665 2.7190
6.8089 -9.0886 7.0130
1.2448 -3.9924 0.0315
5.7862 -8.4145 4.3255
4.8947 -9.2382 6.7226
3.5070 -3.8403 1.4733
4.3923 -7.5078 0.6497
-0.1491 -3.0857 -3.6443
1.8401 -1.1704 -1.3026
3.2277 -6.5683 3.9466
```

=====

No. 11
A relaxed NiMoSe2 crystal, computed with GGA-PBE.

E_form (uncorrected) = -0.311 eV/atom
energy = -6.21 eV per atom

```
NiMoSe2
1.0
3.8448 0.0000 0.0000
0.0000 3.8511 0.1239
0.0000 -0.1108 6.2881
Se Mo Ni
2 1 1
Cartesian
1.9224 1.4244 2.4603
0.0000 3.2512 5.5541
0.0000 1.3746 3.9788
1.9224 3.3006 4.0371
```

=====

No. 12
A relaxed PrFe4B4 crystal, computed with GGA-PBE.

energy = -7.68 eV per atom

```
PrFe4B4
1.0
3.8045 0.0000 0.0000
0.0000 7.0772 0.0000
0.0000 0.0000 7.0772
B Fe Pr
8 8 2
Cartesian
3.4037 2.3668 5.6501
0.4008 1.4271 2.3668
2.3030 1.1718 4.9657
2.3030 5.9054 2.1115
0.4008 5.6501 4.7104
3.4037 4.7104 1.4271
1.5015 2.1115 1.1718
1.5015 4.9657 5.9054
1.4968 2.6049 6.2872
0.4054 6.1435 2.7486
0.4054 0.9337 4.3286
3.3991 4.3286 6.1435
2.3077 0.7900 2.6049
2.3077 6.2872 4.4723
3.3991 2.7486 0.9337
1.4968 4.4723 0.7900
1.9023 3.5386 3.5386
0.0000 0.0000 0.0000
```